{
  "formula": "CoAsBr2",
  "functional": "PBE",
  "state": "optimized geometry",
  "lattice": [[7.5163, 2.7718, -0.6267], [4.4013, 6.6938, 0.6267], [-5.3478, -5.5021, 2.3872]],
  "species": ["Br", "Br", "Co", "As"],
  "fractional_positions": [[0.8881, 0.8881, 0.0000], [0.6119, 0.6119, 0.0000], [0.7500, 0.2500, 0.5000], [0.2500, 0.7500, 0.5000]],
  "total_energy_ev_per_atom": -3.64,
  "relative_energy_mev_per_atom": 215,
  "spacegroup": "Immm (71)",
  "raw_formation_energy_ev_per_atom": 0.134
}